1.
Compound: Ta2SiNi
Source: Alexandria
Functional: PBEsol
Structure: optimized geometry

Unit cell a=3.583 b=5.090 c=5.090 alpha=38.86 beta=90.00 gamma=90.00
Element x y z (fractional)
Ta1 0.000 0.000 0.000
Ta2 0.500 0.314 0.314
Si1 0.500 0.589 0.589
Ni1 0.000 0.730 0.730

* uncorrected formation energy: -2.1 eV per formula unit


2.
Compound: Tb3Si3Ni
Source: Alexandria
Functional: PBEsol
Structure: optimized geometry

Unit cell a=9.110 b=9.110 c=9.110 alpha=155.16 beta=154.00 gamma=36.27
Element x y z (fractional)
Tb1 0.000 0.000 0.000
Tb2 0.180 0.680 0.500
Tb3 0.366 0.366 0.000
Si1 0.544 0.544 0.000
Si2 0.740 0.240 0.500
Si3 0.825 0.825 0.000
Ni1 0.613 0.113 0.500

* uncorrected formation energy: -5.8 eV per formula unit


3.
Compound: TbSi2Ni10
Source: Alexandria
Functional: PBEsol
Structure: optimized geometry

Unit cell a=8.067 b=8.067 c=4.615 alpha=90.00 beta=90.00 gamma=90.00
Element x y z (fractional)
Tb1 0.250 0.250 0.220
Tb2 0.750 0.750 0.780
Si1 0.000 0.000 0.500
Si2 0.000 0.500 0.500
Si3 0.500 0.000 0.500
Si4 0.500 0.500 0.500
Ni1 0.000 0.000 0.000
Ni2 0.000 0.500 0.000
Ni3 0.026 0.250 0.730
Ni4 0.103 0.750 0.762
Ni5 0.250 0.026 0.730
Ni6 0.250 0.474 0.730
Ni7 0.250 0.603 0.238
Ni8 0.250 0.897 0.238
Ni9 0.397 0.750 0.762
Ni10 0.474 0.250 0.730
Ni11 0.500 0.000 0.000
Ni12 0.500 0.500 0.000
Ni13 0.526 0.750 0.270
Ni14 0.603 0.250 0.238
Ni15 0.750 0.103 0.762
Ni16 0.750 0.397 0.762
Ni17 0.750 0.526 0.270
Ni18 0.750 0.974 0.270
Ni19 0.897 0.250 0.238
Ni20 0.974 0.750 0.270

* uncorrected formation energy: -6.2 eV per formula unit


Short version: D(E_F) = 3.0; 5.4; 22.9 states/eV/cell, in the order given.
Short version: V = 14.6; 19.9; 11.6 Å³/atom, in the order given.